(1)
## Cd2FeTeW (GGA-PBE)

Data for crystalline Cd2FeTeW at its relaxed geometry.

- calculated volume (Å³/atom) = 29.88
- space group = No. 123
- crystal system = tetragonal
- total magnetic moment (μB per formula unit) = 2.2
- ΔE_f (raw) (eV per atom) = 1.93
- total DFT energy (no corrections) (eV per cell) = -16.8

a b c (Å): 5.457 5.457 5.017
angles (deg): 90.00 90.00 90.00
Element x y z (fractional)
Cd 0.000 0.500 0.000
Cd 0.500 0.000 0.000
Fe 0.000 0.000 0.500
Te 0.500 0.500 0.000
W 0.500 0.500 0.500

---

(2)
## CdOsPb4 (GGA-PBE)

Data for crystalline CdOsPb4 at its relaxed geometry.

- calculated volume (Å³/atom) = 28.32
- space group = No. 216
- crystal system = cubic
- total magnetic moment (μB per formula unit) = 0.4
- calculated formation energy (eV/atom) = 1.0710
- total DFT energy (no corrections) (eV per cell) = -20.6

a b c (Å): 6.217 6.217 6.217
angles (deg): 60.00 60.00 60.00
Element x y z (fractional)
Cd 0.000 0.000 0.000
Os 0.750 0.750 0.750
Pb 0.376 0.376 0.376
Pb 0.376 0.376 0.872
Pb 0.376 0.872 0.376
Pb 0.872 0.376 0.376

---

(3)
## CdGaS2N (GGA-PBE)

Data for crystalline CdGaS2N at its relaxed geometry.

- calculated volume (Å³/atom) = 22.55
- space group = No. 123
- crystal system = tetragonal
- total magnetic moment (μB per formula unit) = 2.7
- ΔE_f (raw) (eV per atom) = 1.06
- E above lowest polymorph (meV per atom) = 532
- total DFT energy (no corrections) (eV per cell) = -15.2

a b c (Å): 5.137 5.137 4.274
angles (deg): 90.00 90.00 90.00
Element x y z (fractional)
Cd 0.000 0.000 0.000
Ga 0.500 0.500 0.500
S 0.000 0.500 0.000
S 0.500 0.000 0.000
N 0.000 0.000 0.500

---

(4)
## Rb4Nd3SnSe8 (GGA-PBE)

Data for crystalline Rb4Nd3SnSe8 at its relaxed geometry.

- calculated volume (Å³/atom) = 32.97
- space group = No. 166
- crystal system = trigonal
- total magnetic moment (μB per formula unit) = 0.0
- ΔE_f (raw) (eV per atom) = -1.47
- total DFT energy (no corrections) (eV per cell) = -73.6

a b c (Å): 9.464 9.464 9.464
angles (deg): 54.84 54.84 54.84
Element x y z (fractional)
Rb 0.000 0.000 0.000
Rb 0.000 0.500 0.500
Rb 0.500 0.000 0.500
Rb 0.500 0.500 0.000
Nd 0.000 0.000 0.500
Nd 0.000 0.500 0.000
Nd 0.500 0.000 0.000
Sn 0.500 0.500 0.500
Se 0.234 0.234 0.234
Se 0.239 0.730 0.730
Se 0.270 0.270 0.761
Se 0.270 0.761 0.270
Se 0.730 0.239 0.730
Se 0.730 0.730 0.239
Se 0.761 0.270 0.270
Se 0.766 0.766 0.766

---

(5)
## Ac4PmDy2 (GGA-PBE)

Data for crystalline Ac4PmDy2 at its relaxed geometry.

- calculated volume (Å³/atom) = 39.44
- space group = No. 9
- crystal system = monoclinic
- total magnetic moment (μB per formula unit) = 0.0
- calculated formation energy (eV/atom) = 0.0936
- total DFT energy (no corrections) (eV per cell) = -59.5

a b c (Å): 7.205 7.205 13.213
angles (deg): 96.89 96.89 123.68
Element x y z (fractional)
Ac 0.000 0.828 0.220
Ac 0.082 0.918 0.500
Ac 0.213 0.499 0.570
Ac 0.418 0.700 0.148
Ac 0.499 0.213 0.070
Ac 0.700 0.418 0.648
Ac 0.828 0.000 0.720
Ac 0.918 0.082 0.000
Pm 0.396 0.518 0.858
Pm 0.518 0.396 0.358
Dy 0.333 0.970 0.791
Dy 0.577 0.943 0.427
Dy 0.943 0.577 0.927
Dy 0.970 0.333 0.291

---

(6)
## TbAl3Zn3 (GGA-PBE)

Data for crystalline TbAl3Zn3 at its relaxed geometry.

- calculated volume (Å³/atom) = 29.36
- space group = No. 225
- crystal system = cubic
- total magnetic moment (μB per formula unit) = 0.0
- calculated formation energy (eV/atom) = 0.6823
- total DFT energy (no corrections) (eV per cell) = -29.8

a b c (Å): 8.346 8.346 8.346
angles (deg): 60.00 60.00 60.00
Element x y z (fractional)
Tb 0.250 0.250 0.250
Tb 0.750 0.750 0.750
Al 0.156 0.156 0.844
Al 0.156 0.844 0.156
Al 0.156 0.844 0.844
Al 0.844 0.156 0.156
Al 0.844 0.156 0.844
Al 0.844 0.844 0.156
Zn 0.350 0.350 0.650
Zn 0.350 0.650 0.350
Zn 0.350 0.650 0.650
Zn 0.650 0.350 0.350
Zn 0.650 0.350 0.650
Zn 0.650 0.650 0.350

---

(7)
## Dy8Ga2Tc (GGA-PBE)

Data for crystalline Dy8Ga2Tc at its relaxed geometry.

- calculated volume (Å³/atom) = 26.13
- space group = No. 71
- crystal system = orthorhombic
- total magnetic moment (μB per formula unit) = 0.0
- E above lowest polymorph (meV per atom) = 89
- calculated formation energy (eV/atom) = -0.1412
- total DFT energy (no corrections) (eV per cell) = -54.8

a b c (Å): 8.573 8.573 8.573
angles (deg): 146.75 122.49 68.08
Element x y z (fractional)
Dy 0.117 0.344 0.773
Dy 0.125 0.125 0.000
Dy 0.323 0.000 0.323
Dy 0.429 0.656 0.773
Dy 0.571 0.344 0.227
Dy 0.677 0.000 0.677
Dy 0.875 0.875 0.000
Dy 0.883 0.656 0.227
Ga 0.308 0.808 0.500
Ga 0.692 0.192 0.500
Tc 0.000 0.500 0.500

---

(8)
## LaZr4Br (GGA-PBE)

Data for crystalline LaZr4Br at its relaxed geometry.

- calculated volume (Å³/atom) = 26.90
- space group = No. 216
- crystal system = cubic
- total magnetic moment (μB per formula unit) = 0.0
- ΔE_f (raw) (eV per atom) = 0.39
- total DFT energy (no corrections) (eV per cell) = -38.5

a b c (Å): 6.111 6.111 6.111
angles (deg): 60.00 60.00 60.00
Element x y z (fractional)
La 0.000 0.000 0.000
Zr 0.109 0.630 0.630
Zr 0.630 0.109 0.630
Zr 0.630 0.630 0.109
Zr 0.630 0.630 0.630
Br 0.250 0.250 0.250

---

(9)
## Co3AgRh (GGA-PBE)

Data for crystalline Co3AgRh at its relaxed geometry.

- calculated volume (Å³/atom) = 18.67
- space group = No. 221
- crystal system = cubic
- total magnetic moment (μB per formula unit) = 6.9
- E above lowest polymorph (meV per atom) = 575
- calculated formation energy (eV/atom) = 1.8826
- total DFT energy (no corrections) (eV per cell) = -22.1

a b c (Å): 4.536 4.536 4.536
angles (deg): 90.00 90.00 90.00
Element x y z (fractional)
Co 0.000 0.000 0.500
Co 0.000 0.500 0.000
Co 0.500 0.000 0.000
Ag 0.000 0.000 0.000
Rh 0.500 0.500 0.500

---

(10)
## ThUH (GGA-PBE)

Data for crystalline ThUH at its relaxed geometry.

- calculated volume (Å³/atom) = 19.56
- space group = No. 63
- crystal system = orthorhombic
- total magnetic moment (μB per formula unit) = 0.0
- total DFT energy (no corrections) (eV per cell) = -43.8

a b c (Å): 7.041 7.041 3.902
angles (deg): 90.00 90.00 142.65
Element x y z (fractional)
Th 0.171 0.829 0.750
Th 0.829 0.171 0.250
U 0.439 0.561 0.750
U 0.561 0.439 0.250
H 0.070 0.930 0.250
H 0.930 0.070 0.750

---

(11)
## CaOsRu (GGA-PBE)

Data for crystalline CaOsRu at its relaxed geometry.

- calculated volume (Å³/atom) = 19.80
- space group = No. 216
- crystal system = cubic
- total magnetic moment (μB per formula unit) = 0.0
- E above lowest polymorph (meV per atom) = 675
- calculated formation energy (eV/atom) = 0.7656
- total DFT energy (no corrections) (eV per cell) = -20.2

a b c (Å): 4.380 4.380 4.380
angles (deg): 60.00 60.00 60.00
Element x y z (fractional)
Ca 0.000 0.000 0.000
Os 0.500 0.500 0.500
Ru 0.750 0.750 0.750

---

(12)
## MnIrSCl2 (GGA-PBE)

Data for crystalline MnIrSCl2 at its relaxed geometry.

- calculated volume (Å³/atom) = 17.73
- space group = No. 123
- crystal system = tetragonal
- total magnetic moment (μB per formula unit) = 0.0
- ΔE_f (raw) (eV per atom) = 0.95
- E above lowest polymorph (meV per atom) = 622
- total DFT energy (no corrections) (eV per cell) = -21.1

a b c (Å): 4.494 4.494 4.388
angles (deg): 90.00 90.00 90.00
Element x y z (fractional)
Mn 0.000 0.000 0.000
Ir 0.500 0.500 0.500
S 0.000 0.000 0.500
Cl 0.000 0.500 0.000
Cl 0.500 0.000 0.000